(1)
The following is a GGA-PBE calculation of a relaxed structure of Mg2RePb, from the Alexandria database.

Cell lengths 5.3375, 5.3375, 2.9707 Å; angles 90.35, 90.35, 112.97 degrees
With the nearest neighbours (Å) after each atom.
Fractional positions:
1 Mg 0.0000 0.5000 0.0000  4 Mg 2.95-2.97, 4 Pb 3.05-3.06, 4 Re 3.05-3.06
2 Mg 0.5000 0.0000 0.0000  4 Mg 2.95-2.97, 4 Pb 3.05-3.06, 4 Re 3.05-3.06
3 Re 0.0000 0.0000 0.5000  2 Pb 2.95, 2 Re 2.97, 8 Mg 3.05-3.06
4 Pb 0.5000 0.5000 0.5000  2 Re 2.95, 2 Pb 2.97, 8 Mg 3.05-3.06

Calculated values
As for the electronic total energy: -4.321 eV/atom.


(2)
The following is a GGA-PBE calculation of a relaxed structure of Tb2PmCu2, from the Alexandria database.

Cell lengths 5.0020, 4.6747, 10.8124 Å; angles 90.00, 97.02, 90.00 degrees
With the nearest neighbours (Å) after each atom.
Fractional positions:
1 Tb 0.1549 0.2500 0.1146  5 Cu 2.70-2.96
2 Tb 0.2513 0.7500 0.5060  4 Cu 2.78-2.85
3 Tb 0.7487 0.2500 0.4940  4 Cu 2.78-2.85
4 Tb 0.8451 0.7500 0.8854  5 Cu 2.70-2.96
5 Pm 0.3083 0.2500 0.7570  1 Cu 2.94
6 Pm 0.6917 0.7500 0.2430  1 Cu 2.94
7 Cu 0.2145 0.2500 0.3662  5 Tb 2.70-2.85
8 Cu 0.3776 0.7500 0.9949  2 Cu 2.63, 2 Tb 2.75-2.78, 1 Pm 2.94
9 Cu 0.6224 0.2500 0.0051  2 Cu 2.63, 2 Tb 2.75-2.78, 1 Pm 2.94
10 Cu 0.7855 0.7500 0.6338  5 Tb 2.70-2.85

Calculated values
As for the electronic total energy: -4.543 eV/atom.


(3)
The following is a GGA-PBE calculation of a relaxed structure of Ga2Sn2Bi, from the Alexandria database.

Cell lengths 6.5654, 6.5654, 6.5654 Å; angles 136.80, 136.80, 62.75 degrees
With the nearest neighbours (Å) after each atom.
Fractional positions:
1 Ga 0.1088 0.1088 0.0000  1 Ga 2.44
2 Ga 0.8912 0.8912 0.0000  1 Ga 2.44
3 Sn 0.2500 0.7500 0.5000  4 Ga 2.89
4 Sn 0.7500 0.2500 0.5000  4 Ga 2.89
5 Bi 0.5000 0.5000 0.0000  8 Ga 3.63, 8 Sn 3.70

Calculated values
As for the electronic total energy: -3.444 eV/atom.


(4)
The following is a GGA-PBE calculation of a relaxed structure of LaTlIn, from the Alexandria database.

Cell lengths 3.5353, 3.5353, 8.2750 Å; angles 90.00, 90.00, 120.00 degrees
With the nearest neighbours (Å) after each atom.
Fractional positions:
1 La 0.0000 0.0000 0.0000  3 In 3.48, 3 Tl 3.53, 6 La 3.54
2 Tl 0.3333 0.6667 0.3479  3 In 3.29, 3 La 3.53, 6 Tl 3.54
3 In 0.6667 0.3333 0.6592  3 Tl 3.29, 3 La 3.48, 6 In 3.54

Calculated values
As for the electronic total energy: -3.487 eV/atom.


(5)
The following is a GGA-PBE calculation of a relaxed structure of CrCuOs4, from the Alexandria database.

Cell lengths 5.1089, 5.1089, 5.1089 Å; angles 60.00, 60.00, 60.00 degrees
With the nearest neighbours (Å) after each atom.
Fractional positions:
1 Cr 0.0000 0.0000 0.0000  12 Os 3.00, 4 Cu 3.13
2 Cu 0.2500 0.2500 0.2500  12 Os 3.00, 4 Cr 3.13
3 Os 0.1249 0.6250 0.6250  6 Os 2.55-2.56
4 Os 0.6250 0.1249 0.6250  6 Os 2.55-2.56
5 Os 0.6250 0.6250 0.1249  6 Os 2.55-2.56
6 Os 0.6250 0.6250 0.6250  6 Os 2.55-2.56

Calculated values
As for the electronic total energy: -8.998 eV/atom.


(6)
The following is a GGA-PBE calculation of a relaxed structure of V2CuBr8, from the Alexandria database.

Cell lengths 7.9601, 7.9601, 6.4674 Å; angles 90.51, 90.51, 82.21 degrees
With the nearest neighbours (Å) after each atom.
Fractional positions:
1 V 0.1977 0.1977 0.1544  4 Br 2.31-2.36
2 V 0.8023 0.8023 0.8456  4 Br 2.31-2.36
3 Cu 0.0000 0.0000 0.5000  4 Br 2.62
4 Br 0.0769 0.7209 0.7124  1 V 2.36, 1 Cu 2.62
5 Br 0.1889 0.1889 0.7931  1 V 2.34
6 Br 0.2791 0.9231 0.2876  1 V 2.36, 1 Cu 2.62
7 Br 0.3820 0.3820 0.2642  1 V 2.31
8 Br 0.6180 0.6180 0.7358  1 V 2.31
9 Br 0.7209 0.0769 0.7124  1 V 2.36, 1 Cu 2.62
10 Br 0.8111 0.8111 0.2069  1 V 2.34
11 Br 0.9231 0.2791 0.2876  1 V 2.36, 1 Cu 2.62

Calculated values
The value obtained for the formation energy (no corrections) is -0.661 eV/atom.


(7)
The following is a GGA-PBE calculation of a relaxed structure of PrGeRuO, from the Alexandria database.

Cell lengths 4.2545, 4.2545, 8.1378 Å; angles 90.00, 90.00, 90.00 degrees
With the nearest neighbours (Å) after each atom.
Fractional positions:
1 Pr 0.2500 0.2500 0.1382  4 O 2.41
2 Pr 0.7500 0.7500 0.8618  4 O 2.41
3 Ge 0.2500 0.2500 0.6401  4 Ru 2.41
4 Ge 0.7500 0.7500 0.3599  4 Ru 2.41
5 Ru 0.2500 0.7500 0.5000  4 Ge 2.41
6 Ru 0.7500 0.2500 0.5000  4 Ge 2.41
7 O 0.2500 0.7500 0.0000  4 Pr 2.41
8 O 0.7500 0.2500 0.0000  4 Pr 2.41

Calculated values
The value obtained for the formation energy (no corrections) is -1.617 eV/atom.


(8)
The following is a GGA-PBE calculation of a relaxed structure of Tl2Sb2Au, from the Alexandria database.

Cell lengths 9.5619, 9.5619, 9.5619 Å; angles 154.79, 154.79, 35.95 degrees
With the nearest neighbours (Å) after each atom.
Fractional positions:
1 Tl 0.0903 0.0903 0.0000  1 Tl 3.28, 4 Au 3.38, 4 Sb 3.58
2 Tl 0.9097 0.9097 0.0000  1 Tl 3.28, 4 Au 3.38, 4 Sb 3.58
3 Sb 0.2500 0.7500 0.5000  4 Sb 2.95
4 Sb 0.7500 0.2500 0.5000  4 Sb 2.95
5 Au 0.5000 0.5000 0.0000  8 Tl 3.38

Calculated values
The value obtained for the formation energy (no corrections) is 0.132 eV/atom.


(9)
The following is a GGA-PBE calculation of a relaxed structure of TbPrEuGa, from the Alexandria database.

Cell lengths 5.4596, 5.4596, 5.4596 Å; angles 60.00, 60.00, 60.00 degrees
With the nearest neighbours (Å) after each atom.
Fractional positions:
1 Tb 0.0000 0.0000 0.0000  4 Ga 3.34, 4 Eu 3.34
2 Pr 0.5000 0.5000 0.5000  4 Eu 3.34, 4 Ga 3.34
3 Eu 0.7500 0.7500 0.7500  4 Tb 3.34, 4 Pr 3.34
4 Ga 0.2500 0.2500 0.2500  4 Tb 3.34, 4 Pr 3.34

Calculated values
As for the electronic total energy: -5.761 eV/atom.


(10)
The following is a GGA-PBE calculation of a relaxed structure of ZrW3, from the Alexandria database.

Cell lengths 2.8471, 4.5613, 5.4026 Å; angles 90.00, 100.32, 90.00 degrees
With the nearest neighbours (Å) after each atom.
Fractional positions:
1 Zr 0.0000 0.0000 0.0000  6 W 2.82-2.83, 2 Zr 2.85
2 W 0.2577 0.5000 0.7428  6 W 2.77-2.87, 2 Zr 2.83
3 W 0.5000 0.0000 0.5000  6 W 2.78-2.85, 2 Zr 2.82
4 W 0.7423 0.5000 0.2572  6 W 2.77-2.87, 2 Zr 2.83

Calculated values
As for the electronic total energy: -11.747 eV/atom.


(11)
The following is a GGA-PBE calculation of a relaxed structure of CuH, from the Alexandria database.

Cell lengths 5.2645, 5.2645, 5.2645 Å; angles 94.21, 94.21, 148.56 degrees
With the nearest neighbours (Å) after each atom.
Fractional positions:
1 Cu 0.1271 0.6676 0.7947  4 H 1.76-1.85
2 Cu 0.3324 0.1271 0.4596  4 H 1.76-1.85
3 Cu 0.6676 0.8729 0.5404  4 H 1.76-1.85
4 Cu 0.8729 0.3324 0.2053  4 H 1.76-1.85
5 H 0.1008 0.2408 0.3416  4 Cu 1.76-1.85
6 H 0.2408 0.8992 0.1400  4 Cu 1.76-1.85
7 H 0.7592 0.1008 0.8600  4 Cu 1.76-1.85
8 H 0.8992 0.7592 0.6584  4 Cu 1.76-1.85

Calculated values
As for the electronic total energy: -3.620 eV/atom.


(12)
The following is a GGA-PBE calculation of a relaxed structure of NpGe2I8, from the Alexandria database.

Cell lengths 8.7742, 8.7742, 8.2109 Å; angles 90.44, 90.44, 60.03 degrees
With the nearest neighbours (Å) after each atom.
Fractional positions:
1 Np 0.0000 0.0000 0.0000  6 I 2.97-3.04
2 Ge 0.1345 0.1345 0.5414  3 I 2.61-2.93
3 Ge 0.8655 0.8655 0.4586  3 I 2.61-2.93
4 I 0.1716 0.7021 0.2441  1 Ge 2.93, 1 Np 3.04
5 I 0.1771 0.1771 0.1572  1 Np 2.97, 1 Ge 3.23
6 I 0.2979 0.8284 0.7559  1 Ge 2.93, 1 Np 3.04
7 I 0.2994 0.2994 0.6347  1 Ge 2.61
8 I 0.7006 0.7006 0.3653  1 Ge 2.61
9 I 0.7021 0.1716 0.2441  1 Ge 2.93, 1 Np 3.04
10 I 0.8229 0.8229 0.8428  1 Np 2.97, 1 Ge 3.23
11 I 0.8284 0.2979 0.7559  1 Ge 2.93, 1 Np 3.04

Calculated values
The value obtained for the formation energy (no corrections) is -0.472 eV/atom.


(13)
The following is a GGA-PBE calculation of a relaxed structure of CaCo3Sn, from the Alexandria database.

Cell lengths 4.7690, 4.7690, 4.7690 Å; angles 90.00, 90.00, 90.00 degrees
With the nearest neighbours (Å) after each atom.
Fractional positions:
1 Ca 0.0000 0.0000 0.0000  12 Co 3.37
2 Co 0.0000 0.5000 0.5000  2 Sn 2.38
3 Co 0.5000 0.0000 0.5000  2 Sn 2.38
4 Co 0.5000 0.5000 0.0000  2 Sn 2.38
5 Sn 0.5000 0.5000 0.5000  6 Co 2.38

Calculated values
As for the electronic total energy: -4.656 eV/atom.


(14)
The following is a GGA-PBE calculation of a relaxed structure of TiGeSI2, from the Alexandria database.

Cell lengths 5.7404, 5.7404, 4.6836 Å; angles 90.00, 90.00, 90.00 degrees
With the nearest neighbours (Å) after each atom.
Fractional positions:
1 Ti 0.0000 0.0000 0.0000  8 I 3.70, 4 S 4.06
2 Ge 0.5000 0.5000 0.5000  2 S 2.34
3 S 0.5000 0.5000 0.0000  2 Ge 2.34
4 I 0.0000 0.5000 0.5000  2 Ge 2.87
5 I 0.5000 0.0000 0.5000  2 Ge 2.87

Calculated values
The value obtained for the formation energy (no corrections) is 0.542 eV/atom.


(15)
The following is a GGA-PBE calculation of a relaxed structure of TaMnTc2, from the Alexandria database.

Cell lengths 9.1807, 9.1807, 9.1807 Å; angles 17.53, 17.53, 17.53 degrees
With the nearest neighbours (Å) after each atom.
Fractional positions:
1 Ta 0.0000 0.0000 0.0000  6 Ta 2.80, 3 Mn 2.80, 3 Tc 2.94
2 Mn 0.2490 0.2490 0.2490  3 Tc 2.72, 6 Mn 2.80, 3 Ta 2.80
3 Tc 0.5016 0.5016 0.5016  9 Tc 2.65-2.80, 3 Mn 2.72
4 Tc 0.7573 0.7573 0.7573  9 Tc 2.65-2.80, 3 Ta 2.94

Calculated values
As for the electronic total energy: -10.275 eV/atom.


(16)
The following is a GGA-PBE calculation of a relaxed structure of AuI, from the Alexandria database.

Cell lengths 7.7315, 7.7315, 7.7315 Å; angles 109.47, 109.47, 109.47 degrees
With the nearest neighbours (Å) after each atom.
Fractional positions:
1 Au 0.0000 0.0000 0.3337  4 I 2.66-2.93
2 Au 0.0000 0.3337 0.0000  4 I 2.66-2.93
3 Au 0.3337 0.0000 0.0000  4 I 2.66-2.93
4 Au 0.6663 0.6663 0.6663  4 I 2.66-2.93
5 I 0.0000 0.0000 0.6781  4 Au 2.66-2.93
6 I 0.0000 0.6781 0.0000  4 Au 2.66-2.93
7 I 0.3219 0.3219 0.3219  4 Au 2.66-2.93
8 I 0.6781 0.0000 0.0000  4 Au 2.66-2.93

Calculated values
The value obtained for the formation energy (no corrections) is 0.107 eV/atom.


(17)
The following is a GGA-PBE calculation of a relaxed structure of Nd2Co7, from the Alexandria database.

Cell lengths 12.5357, 12.5357, 12.5357 Å; angles 23.23, 23.23, 23.23 degrees
With the nearest neighbours (Å) after each atom.
Fractional positions:
1 Nd 0.0512 0.0512 0.0512  18 Co 2.92-3.26
2 Nd 0.1481 0.1481 0.1481  12 Co 2.93-3.20, 3 Nd 3.21
3 Nd 0.8519 0.8519 0.8519  12 Co 2.93-3.20, 3 Nd 3.21
4 Nd 0.9488 0.9488 0.9488  18 Co 2.92-3.26
5 Co 0.0000 0.5000 0.5000  8 Co 2.45-2.52
6 Co 0.1113 0.6058 0.6058  7 Co 2.44-2.60
7 Co 0.2788 0.2788 0.2788  6 Co 2.44-2.47
8 Co 0.3873 0.3873 0.3873  6 Co 2.44-2.45
9 Co 0.3942 0.3942 0.8887  7 Co 2.44-2.60
10 Co 0.3942 0.8887 0.3942  7 Co 2.44-2.60
11 Co 0.5000 0.0000 0.5000  8 Co 2.45-2.52
12 Co 0.5000 0.5000 0.0000  8 Co 2.45-2.52
13 Co 0.5000 0.5000 0.5000  6 Co 2.60
14 Co 0.6058 0.1113 0.6058  7 Co 2.44-2.60
15 Co 0.6058 0.6058 0.1113  7 Co 2.44-2.60
16 Co 0.6127 0.6127 0.6127  6 Co 2.44-2.45
17 Co 0.7212 0.7212 0.7212  6 Co 2.44-2.47
18 Co 0.8887 0.3942 0.3942  7 Co 2.44-2.60

Calculated values
As for the electronic total energy: -6.628 eV/atom.


(18)
The following is a GGA-PBE calculation of a relaxed structure of ScC2Se2, from the Alexandria database.

Cell lengths 8.4971, 8.4971, 8.4971 Å; angles 155.89, 155.89, 34.36 degrees
With the nearest neighbours (Å) after each atom.
Fractional positions:
1 Sc 0.0000 0.0000 0.0000  8 C 2.59
2 C 0.4602 0.4602 0.0000  1 C 1.29
3 C 0.5398 0.5398 0.0000  1 C 1.29
4 Se 0.2500 0.7500 0.5000  4 Se 2.51
5 Se 0.7500 0.2500 0.5000  4 Se 2.51

Calculated values
The value obtained for the formation energy (no corrections) is 0.535 eV/atom.


(19)
The following is a GGA-PBE calculation of a relaxed structure of Sm5Tl4Cu, from the Alexandria database.

Cell lengths 3.6523, 3.6523, 20.6893 Å; angles 90.00, 90.00, 90.00 degrees
With the nearest neighbours (Å) after each atom.
Fractional positions:
1 Sm 0.0000 0.0000 0.0000  8 Tl 3.37, 4 Sm 3.65
2 Sm 0.0000 0.0000 0.2081  8 Tl 3.36-3.37, 4 Sm 3.65
3 Sm 0.0000 0.0000 0.4169  4 Cu 3.10, 4 Tl 3.36, 1 Sm 3.44
4 Sm 0.0000 0.0000 0.5831  4 Cu 3.10, 4 Tl 3.36, 1 Sm 3.44
5 Sm 0.0000 0.0000 0.7919  8 Tl 3.36-3.37, 4 Sm 3.65
6 Tl 0.5000 0.5000 0.1044  8 Sm 3.36-3.37, 4 Tl 3.65
7 Tl 0.5000 0.5000 0.3128  8 Sm 3.36-3.37, 4 Tl 3.65
8 Tl 0.5000 0.5000 0.6872  8 Sm 3.36-3.37, 4 Tl 3.65
9 Tl 0.5000 0.5000 0.8956  8 Sm 3.36-3.37, 4 Tl 3.65
10 Cu 0.5000 0.5000 0.5000  8 Sm 3.10

Calculated values
As for the electronic total energy: -4.056 eV/atom.


(20)
The following is a GGA-PBE calculation of a relaxed structure of YSc2As2, from the Alexandria database.

Cell lengths 7.0017, 7.0017, 7.0017 Å; angles 145.48, 145.48, 49.62 degrees
With the nearest neighbours (Å) after each atom.
Fractional positions:
1 Y 0.0000 0.0000 0.0000  8 As 3.26
2 Sc 0.2500 0.7500 0.5000  4 As 2.73, 4 Sc 2.94
3 Sc 0.7500 0.2500 0.5000  4 As 2.73, 4 Sc 2.94
4 As 0.3892 0.3892 0.0000  4 Sc 2.73, 1 As 2.82
5 As 0.6108 0.6108 0.0000  4 Sc 2.73, 1 As 2.82

Calculated values
As for the electronic total energy: -6.617 eV/atom.


(21)
The following is a GGA-PBE calculation of a relaxed structure of YUS2N, from the Alexandria database.

Cell lengths 3.8182, 3.8182, 13.8277 Å; angles 90.00, 90.00, 90.00 degrees
With the nearest neighbours (Å) after each atom.
Fractional positions:
1 Y 0.2500 0.2500 0.1197  6 S 2.62-2.92
2 Y 0.7500 0.7500 0.8803  6 S 2.62-2.92
3 U 0.2500 0.2500 0.5860  4 N 2.25
4 U 0.7500 0.7500 0.4140  4 N 2.25
5 S 0.2500 0.2500 0.3094  1 Y 2.62
6 S 0.2500 0.2500 0.9088  5 Y 2.73-2.92
7 S 0.7500 0.7500 0.0912  5 Y 2.73-2.92
8 S 0.7500 0.7500 0.6906  1 Y 2.62
9 N 0.2500 0.7500 0.5000  4 U 2.25
10 N 0.7500 0.2500 0.5000  4 U 2.25

Calculated values
The value obtained for the formation energy (no corrections) is -1.760 eV/atom.


(22)
The following is a GGA-PBE calculation of a relaxed structure of Li2HgPt, from the Alexandria database.

Cell lengths 4.5321, 4.5321, 4.5321 Å; angles 60.00, 60.00, 60.00 degrees
With the nearest neighbours (Å) after each atom.
Fractional positions:
1 Li 0.0000 0.0000 0.0000  4 Pt 2.78, 4 Li 2.78
2 Li 0.2500 0.2500 0.2500  4 Hg 2.78, 4 Li 2.78
3 Hg 0.5000 0.5000 0.5000  4 Li 2.78, 4 Pt 2.78
4 Pt 0.7500 0.7500 0.7500  4 Hg 2.78, 4 Li 2.78

Calculated values
As for the electronic total energy: -2.962 eV/atom.